A relaxed MgSeIN2 crystal, computed with PBE.

Cell: 4.2659 4.2659 5.8880 Å, 90.00 90.00 90.00°
Sites, in units of the cell vectors:
I: 0.5000 0.5000 0.5000
Mg: 0.0000 0.0000 0.0000
Se: 0.0000 0.0000 0.5000
N: 0.0000 0.5000 0.0000
N: 0.5000 0.0000 0.0000

Results
The crystal system is tetragonal. Its space group is P4/mmm. The value obtained for the magnetic moment is 4.3 μB per formula unit. For the formation energy (no corrections), the calculation gives 1.233 eV/atom. For the relative energy among the computed polymorphs, the calculation gives 0 meV/atom. The value obtained for the total energy is -17.1 eV for the cell shown.